# 1
! MnHg2TeS | Alexandria via LeMat-Bulk | GGA-PBE | optimized geometry; values from VASP
! Formation energy from raw total energies: 0.663 eV/atom
&SYSTEM
  ibrav = 0, nat = 5, ntyp = 4
/
ATOMIC_SPECIES
Mn 54.94 Mn.upf
Hg 200.59 Hg.upf
Te 127.60 Te.upf
S 32.06 S.upf
CELL_PARAMETERS angstrom
5.212 0.000 0.000
0.000 5.212 0.000
0.000 0.000 4.705
ATOMIC_POSITIONS crystal
Mn 0.000 0.000 0.000
Hg 0.000 0.500 0.000
Hg 0.500 0.000 0.000
Te 0.000 0.000 0.500
S 0.500 0.500 0.500

# 2
! ErAlNi4Ge2 | Alexandria via LeMat-Bulk | GGA-PBE | optimized geometry; values from VASP
! DFT formation energy: -48 kJ/mol of atoms
&SYSTEM
  ibrav = 0, nat = 8, ntyp = 4
/
ATOMIC_SPECIES
Er 167.26 Er.upf
Al 26.98 Al.upf
Ni 58.69 Ni.upf
Ge 72.64 Ge.upf
CELL_PARAMETERS angstrom
2.022 1.167 8.113
-2.022 1.167 8.113
0.000 -2.335 8.113
ATOMIC_POSITIONS crystal
Er 0.000 0.000 0.000
Al 0.500 0.500 0.500
Ni 0.135 0.135 0.135
Ni 0.405 0.405 0.405
Ni 0.595 0.595 0.595
Ni 0.865 0.865 0.865
Ge 0.247 0.247 0.247
Ge 0.753 0.753 0.753

# 3
! KZn2Os | Alexandria via LeMat-Bulk | GGA-PBE | optimized geometry; values from VASP
! DFT formation energy: 113 kJ/mol of atoms
! Distance to the lowest polymorph of the same formula: 0.755 eV/atom
&SYSTEM
  ibrav = 0, nat = 4, ntyp = 3
/
ATOMIC_SPECIES
K 39.10 K.upf
Zn 65.41 Zn.upf
Os 190.23 Os.upf
CELL_PARAMETERS angstrom
0.000 3.329 3.329
3.329 0.000 3.329
3.329 3.329 0.000
ATOMIC_POSITIONS crystal
K 0.000 0.000 0.000
Zn 0.500 0.500 0.500
Zn 0.750 0.750 0.750
Os 0.250 0.250 0.250

# 4
! TaZn2Ru | Alexandria via LeMat-Bulk | GGA-PBE | optimized geometry; values from VASP
! DFT formation energy: -5 kJ/mol of atoms
! Distance to the lowest polymorph of the same formula: 0.067 eV/atom
&SYSTEM
  ibrav = 0, nat = 4, ntyp = 3
/
ATOMIC_SPECIES
Ta 180.95 Ta.upf
Zn 65.41 Zn.upf
Ru 101.07 Ru.upf
CELL_PARAMETERS angstrom
4.487 -1.497 0.000
4.487 1.497 0.000
-1.163 0.000 4.564
ATOMIC_POSITIONS crystal
Ta 0.000 0.000 0.000
Zn 0.237 0.237 0.683
Zn 0.485 0.485 0.491
Ru 0.743 0.743 0.182

# 5
! BaCe2GeN4 | Alexandria via LeMat-Bulk | GGA-PBE | optimized geometry; values from VASP
! Formation energy from raw total energies: -0.925 eV/atom
&SYSTEM
  ibrav = 0, nat = 16, ntyp = 4
/
ATOMIC_SPECIES
Ba 137.33 Ba.upf
Ce 140.12 Ce.upf
Ge 72.64 Ge.upf
N 14.01 N.upf
CELL_PARAMETERS angstrom
1.846 -6.167 0.000
1.846 6.167 0.000
0.000 0.000 11.862
ATOMIC_POSITIONS crystal
Ba 0.093 0.907 0.750
Ba 0.907 0.093 0.250
Ce 0.370 0.630 0.544
Ce 0.370 0.630 0.956
Ce 0.630 0.370 0.044
Ce 0.630 0.370 0.456
Ge 0.174 0.826 0.250
Ge 0.826 0.174 0.750
N 0.000 0.000 0.000
N 0.000 0.000 0.500
N 0.261 0.739 0.118
N 0.261 0.739 0.382
N 0.401 0.599 0.750
N 0.599 0.401 0.250
N 0.739 0.261 0.618
N 0.739 0.261 0.882

# 6
! Rb3Pu2CoS6 | Alexandria via LeMat-Bulk | GGA-PBE | optimized geometry; values from VASP
! Formation energy from raw total energies: -1.144 eV/atom
&SYSTEM
  ibrav = 0, nat = 12, ntyp = 4
/
ATOMIC_SPECIES
Rb 85.47 Rb.upf
Pu 244.00 Pu.upf
Co 58.93 Co.upf
S 32.06 S.upf
CELL_PARAMETERS angstrom
3.448 -5.968 0.000
3.448 5.968 0.000
-2.299 0.000 7.604
ATOMIC_POSITIONS crystal
Rb 0.000 0.000 0.000
Rb 0.333 0.667 0.000
Rb 0.667 0.333 0.000
Pu 0.167 0.833 0.500
Pu 0.833 0.167 0.500
Co 0.500 0.500 0.500
S 0.118 0.439 0.317
S 0.240 0.240 0.684
S 0.439 0.118 0.317
S 0.561 0.882 0.683
S 0.760 0.760 0.316
S 0.882 0.561 0.683

no.,uncorrected energy (eV per cell),DOS(E_F) (states/eV per atom)
1,-13.73,1.65
2,-44.65,0.60
3,-10.20,0.77
4,-23.86,0.44
5,-118.22,0.78
6,-77.16,1.48